VASP calculation (GGA-PBE) on a relaxed CaTi2InC crystal.

CIF file:
```
data_CaTi2InC
_symmetry_space_group_name_H-M 'P 4/m m m'
_symmetry_Int_Tables_number 123
_symmetry_space_group_name_Hall '-P 4 2'
_cell_length_a 5.2207
_cell_length_b 5.2207
_cell_length_c 5.5094
_cell_angle_alpha 90.00
_cell_angle_beta 90.00
_cell_angle_gamma 90.00
loop_
_atom_site_label
_atom_site_fract_x
_atom_site_fract_y
_atom_site_fract_z
_atom_site_occupancy
Ca1 0.0000 0.0000 0.0000 1
Ti1 0.0000 0.5000 0.5000 1
In1 0.0000 0.0000 0.5000 1
C1 0.5000 0.5000 0.0000 1
```

## Properties
The calculation puts the formation energy at 2.060 eV per atom. The calculation puts the density at 2.90 g cm⁻³. The raw total energy comes out at -19.45 eV per cell.